# Mg2AgMo

Crystalline Mg2AgMo at its relaxed geometry (GGA-PBE, Alexandria).

Cell lengths 4.998, 4.998, 5.379 Å; angles 80.18, 80.18, 32.78 degrees
Site moments in Bohr magnetons follow the coordinates.
Fractional coordinates of all 4 atoms:
Mo 0.750 0.750 0.750  0.14
Ag 0.250 0.250 0.250  0.00
Mg 0.996 0.996 0.991  0.00
Mg 0.504 0.504 0.509  0.00

## Properties
density of states at the Fermi level: 0.778 states/eV per atom
space-group type: No. 12
energy above the lowest structure with this stoichiometry: 210 meV/atom
ΔH_f (0 K): 0.32 eV per atom
spin magnetization: 0.2 μB/cell

# LiCr3Fe

Crystalline LiCr3Fe at its relaxed geometry (GGA-PBE, Alexandria).

Cell lengths 4.465, 4.465, 4.465 Å; angles 90.00, 90.00, 90.00 degrees
Site moments in Bohr magnetons follow the coordinates.
Fractional coordinates of all 5 atoms:
Fe 0.000 0.000 0.000  -1.11
Li 0.500 0.500 0.500  -0.01
Cr 0.000 0.500 0.000  2.95
Cr 0.000 0.000 0.500  2.72
Cr 0.500 0.000 0.000  3.20

## Properties
density of states at the Fermi level: 0.901 states/eV per atom
space-group type: No. 221
energy above the lowest structure with this stoichiometry: 0 meV/atom
ΔH_f (0 K): 1.04 eV per atom
spin magnetization: 8.6 μB/cell

# HgH2Rh

Crystalline HgH2Rh at its relaxed geometry (GGA-PBE, Alexandria).

Cell lengths 3.909, 3.909, 3.909 Å; angles 60.00, 60.00, 60.00 degrees
Fractional coordinates of all 4 atoms:
H 0.250 0.250 0.250
H 0.750 0.750 0.750
Hg 0.500 0.500 0.500
Rh 0.000 0.000 0.000

## Properties
density of states at the Fermi level: 0.329 states/eV per atom
space-group type: No. 225
energy above the lowest structure with this stoichiometry: 625 meV/atom
spin magnetization: 0.0 μB/cell

# Er3Ag2Au4

Crystalline Er3Ag2Au4 at its relaxed geometry (GGA-PBE, Alexandria).

Cell lengths 5.271, 8.762, 8.762 Å; angles 76.04, 81.24, 81.24 degrees
Fractional coordinates of all 18 atoms:
Ag 0.126 0.596 0.849
Ag 0.374 0.151 0.404
Ag 0.874 0.404 0.151
Ag 0.626 0.849 0.596
Au 0.678 0.494 0.737
Au 0.486 0.931 0.195
Au 0.986 0.195 0.931
Au 0.178 0.737 0.494
Au 0.514 0.069 0.805
Au 0.822 0.263 0.506
Au 0.014 0.805 0.069
Au 0.322 0.506 0.263
Er 0.563 0.716 0.965
Er 0.750 0.621 0.379
Er 0.937 0.035 0.284
Er 0.437 0.284 0.035
Er 0.250 0.379 0.621
Er 0.063 0.965 0.716

## Properties
density of states at the Fermi level: 0.553 states/eV per atom
space-group type: No. 15
ΔH_f (0 K): -0.61 eV per atom
spin magnetization: 0.0 μB/cell

- Look up the density of states at the Fermi level of the fourth one.
  0.553 states/eV per atom